(1)
NaCuRe2O8: optimized geometry, GGA-PBE.

Cell: 5.651 6.844 6.930 Å, 60.48 65.94 65.62°
Fractional positions:
1 O 0.341 0.437 0.881
2 Cu 0.000 0.000 0.000
3 O 0.120 0.047 0.207
4 O 0.880 0.953 0.793
5 O 0.374 0.953 0.793
6 O 0.659 0.563 0.119
7 Re 0.304 0.227 0.165
8 Re 0.696 0.773 0.835
9 O 0.862 0.633 0.644
10 Na 0.500 0.500 0.500
11 O 0.626 0.047 0.207
12 O 0.138 0.367 0.356

ΔE_f (raw), eV/atom: -1.497
SG: C2/m

(2)
Nd3Ag2Au: optimized geometry, GGA-PBE.

Cell: 3.712 5.309 8.410 Å, 108.40 90.00 90.00°
Fractional positions:
1 Nd 0.500 0.838 0.675
2 Ag 0.000 0.327 0.655
3 Ag 0.000 0.673 0.345
4 Nd 0.500 0.162 0.325
5 Nd 0.500 0.500 0.000
6 Au 0.000 0.000 0.000

SG: Cmmm
DFT formation energy, kcal/mol of atoms: -9.97

(3)
GeH2Pt2: optimized geometry, GGA-PBE.

Cell: 6.339 6.339 3.504 Å, 90.00 90.00 90.00°
Fractional positions:
1 H 0.362 0.862 0.500
2 Ge 0.000 0.000 0.000
3 Pt 0.849 0.651 0.000
4 H 0.862 0.638 0.500
5 Pt 0.651 0.151 0.000
6 H 0.638 0.138 0.500
7 H 0.138 0.362 0.500
8 Ge 0.500 0.500 0.000
9 Pt 0.349 0.849 0.000
10 Pt 0.151 0.349 0.000

Offset from the most stable computed form, meV/atom: 0.0
SG: P4/mbm

(4)
TbSc2Os: optimized geometry, GGA-PBE.

Cell: 3.179 3.179 10.681 Å, 81.44 81.44 60.00°
Fractional positions:
1 Sc 0.897 0.897 0.310
2 Sc 0.103 0.103 0.690
3 Os 0.500 0.500 0.500
4 Tb 0.000 0.000 0.000

Offset from the most stable computed form, meV/atom: 408.8
SG: R-3m
DFT formation energy, kcal/mol of atoms: 3.12

Number 3 is which compound?
GeH2Pt2